Record 1
DFT (PBE) results for a geometry-optimized CaIn4Pt structure.

a = 5.969 Å, b = 5.969 Å, c = 5.969 Å
α = 60.00°, β = 60.00°, γ = 60.00°
Element x y z (fractional)
1 In 0.375 0.375 0.375
2 In 0.874 0.375 0.375
3 In 0.375 0.874 0.375
4 In 0.375 0.375 0.874
5 Ca 0.000 0.000 0.000
6 Pt 0.750 0.750 0.750

Computed properties:
**E**: -3.139 eV/atom
**Density of states at the Fermi level**: 3.53 states/eV/cell
**Formation energy**: 0.027 eV per atom

Record 2
DFT (PBE) results for a geometry-optimized CaInPt structure.

a = 4.323 Å, b = 7.443 Å, c = 12.828 Å
α = 89.20°, β = 90.00°, γ = 90.00°
Element x y z (fractional)
1 Pt 0.250 0.764 0.910
2 Pt 0.750 0.236 0.090
3 Pt 0.750 0.767 0.584
4 Pt 0.750 0.261 0.749
5 Pt 0.250 0.233 0.416
6 Pt 0.250 0.739 0.251
7 In 0.750 0.151 0.545
8 In 0.250 0.370 0.206
9 In 0.250 0.988 0.088
10 In 0.750 0.012 0.912
11 In 0.250 0.849 0.455
12 In 0.750 0.630 0.794
13 Ca 0.250 0.352 0.920
14 Ca 0.250 0.469 0.621
15 Ca 0.750 0.648 0.080
16 Ca 0.250 0.965 0.711
17 Ca 0.750 0.035 0.289
18 Ca 0.750 0.531 0.379

Computed properties:
**E**: -4.420 eV/atom
**Density of states at the Fermi level**: 8.38 states/eV/cell
**Formation energy**: -0.827 eV per atom

Record 3
DFT (PBE) results for a geometry-optimized Ca2In5Pt3 structure.

a = 4.520 Å, b = 7.398 Å, c = 13.602 Å
α = 90.00°, β = 99.56°, γ = 90.00°
Element x y z (fractional)
1 In 0.293 0.900 0.586
2 In 0.876 0.756 0.751
3 In 0.599 0.906 0.197
4 In 0.124 0.256 0.249
5 In 0.401 0.406 0.803
6 In 0.948 0.114 0.896
7 In 0.707 0.400 0.414
8 In 0.708 0.989 0.415
9 In 0.052 0.614 0.104
10 In 0.292 0.489 0.585
11 Pt 0.772 0.692 0.543
12 Pt 0.046 0.999 0.092
13 Pt 0.610 0.524 0.220
14 Pt 0.228 0.192 0.457
15 Pt 0.954 0.499 0.908
16 Pt 0.390 0.024 0.780
17 Ca 0.824 0.198 0.649
18 Ca 0.523 0.286 0.047
19 Ca 0.176 0.698 0.351
20 Ca 0.477 0.786 0.953

Computed properties:
**E**: -4.245 eV/atom
**Density of states at the Fermi level**: 9.67 states/eV/cell
**Formation energy**: -0.663 eV per atom